(1)
Material: CoMoO2F
Method: DFT, GGA+U
State: optimized geometry

Cell lengths 3.9229, 3.9229, 4.2405 Å; angles 90.00, 90.00, 90.00 degrees
With the nearest neighbours (Å) after each atom.
Space group P4/mmm (No. 123)
One atom of each set of equivalent atoms:
Co  0.0000  0.0000  0.0000 (multiplicity 1)  4 F 2.77, 8 O 2.89
Mo  0.5000  0.5000  0.5000 (multiplicity 1)  4 O 1.96, 2 F 2.12
O  0.0000  0.5000  0.5000 (multiplicity 2)  2 Mo 1.96
F  0.5000  0.5000  0.0000 (multiplicity 1)  2 Mo 2.12

DFT total energy (eV/cell): -28.05
M_tot (μB per cell): 2.17

***

(2)
Material: CoMoO2F
Method: DFT, GGA+U
State: optimized geometry

Cell lengths 3.8504, 3.8504, 3.7102 Å; angles 90.00, 90.00, 90.00 degrees
With the nearest neighbours (Å) after each atom.
Space group P4/mmm (No. 123)
One atom of each set of equivalent atoms:
Co  0.0000  0.0000  0.0000 (multiplicity 1)  2 F 1.86, 4 O 1.93
Mo  0.5000  0.5000  0.5000 (multiplicity 1)  8 O 2.67, 4 F 2.72
O  0.0000  0.5000  0.0000 (multiplicity 2)  2 Co 1.93
F  0.0000  0.0000  0.5000 (multiplicity 1)  2 Co 1.86

DFT total energy (eV/cell): -27.41
M_tot (μB per cell): 4.00

***

(3)
Material: CoMoPd2F
Method: DFT, GGA+U
State: optimized geometry

Cell lengths 4.8791, 4.8791, 3.6816 Å; angles 90.00, 90.00, 90.00 degrees
With the nearest neighbours (Å) after each atom.
Space group P4/mmm (No. 123)
One atom of each set of equivalent atoms:
Co  0.0000  0.0000  0.0000 (multiplicity 1)  2 F 1.84
Mo  0.5000  0.5000  0.5000 (multiplicity 1)  8 Pd 3.06
Pd  0.0000  0.5000  0.0000 (multiplicity 2)  2 Co 2.44
F  0.0000  0.0000  0.5000 (multiplicity 1)  2 Co 1.84

DFT total energy (eV/cell): -22.58
M_tot (μB per cell): 7.09

***

(4)
Material: RbCo2MoF8
Method: DFT, GGA+U
State: optimized geometry

Cell lengths 5.4704, 5.4704, 23.1288 Å; angles 90.00, 90.00, 120.00 degrees
With the nearest neighbours (Å) after each atom.
Space group R-3 (No. 148, hexagonal axes)
One atom of each set of equivalent atoms:
Rb  0.0000  0.0000  0.0000 (multiplicity 3)  12 F 3.16-3.25
Co  0.0000  0.0000  0.2464 (multiplicity 6)  4 F 1.85-1.96
Mo  0.0000  0.0000  0.5000 (multiplicity 3)  6 F 2.12
F  0.0000  0.0000  0.3266 (multiplicity 6)  1 Co 1.85
F  0.0034  0.6831  0.4482 (multiplicity 18)  1 Co 1.96, 1 Mo 2.12

DFT total energy (eV/cell): -182.97
M_tot (μB per cell): 27.46

***

(5)
Material: Rb2CoMoF6
Method: DFT, GGA+U
State: optimized geometry

Cell lengths 6.1568, 6.1568, 8.6820 Å; angles 90.00, 90.00, 90.00 degrees
With the nearest neighbours (Å) after each atom.
Space group I4/mmm (No. 139)
One atom of each set of equivalent atoms:
Rb  0.0000  0.5000  0.2500 (multiplicity 4)  12 F 3.07-3.08
Co  0.0000  0.0000  0.0000 (multiplicity 2)  6 F 2.23-2.25
Mo  0.0000  0.0000  0.5000 (multiplicity 2)  6 F 2.11
F  0.0000  0.0000  0.2573 (multiplicity 4)  1 Mo 2.11, 1 Co 2.23
F  0.2420  0.2420  0.5000 (multiplicity 8)  1 Mo 2.11, 1 Co 2.25

DFT total energy (eV/cell): -98.24
M_tot (μB per cell): 10.00

***

(6)
Material: CoMoSe2F
Method: DFT, GGA+U
State: optimized geometry

Cell lengths 4.4017, 4.4017, 5.5527 Å; angles 90.00, 90.00, 90.00 degrees
With the nearest neighbours (Å) after each atom.
Space group P4/mmm (No. 123)
One atom of each set of equivalent atoms:
Co  0.0000  0.0000  0.0000 (multiplicity 1)  4 Se 2.20
Mo  0.0000  0.0000  0.5000 (multiplicity 1)  2 Co 2.78
Se  0.0000  0.5000  0.0000 (multiplicity 2)  2 Co 2.20
F  0.5000  0.5000  0.5000 (multiplicity 1)  4 Mo 3.11

DFT total energy (eV/cell): -19.25
M_tot (μB per cell): 5.83

***

The lowest M_tot belongs to which entry?
number 1